No. 1
Here is a relaxed SmBeAlPt3 crystal from the Alexandria database. Energies are from PBE.

Lattice parameters (Å, degrees): 5.5611 6.8430 6.8477 119.98 90.00 90.00
Atoms (fractional coordinates):
Be (0.7500, 0.6071, 0.2142)
Pt (0.5000, 0.2980, 0.0000)
Sm (0.2500, 0.7082, 0.4163)
Be (0.2500, 0.3929, 0.7858)
Pt (0.0000, 0.2980, 0.0000)
Pt (0.0000, 0.7020, 0.0000)
Sm (0.7500, 0.2918, 0.5837)
Al (0.2500, 0.9947, 0.9894)
Pt (0.2500, 0.2058, 0.4117)
Pt (0.5000, 0.7020, 0.0000)
Pt (0.7500, 0.7942, 0.5883)
Al (0.7500, 0.0053, 0.0106)

Output
SG: Cmcm, No. 63
Energy of formation from the pure elements in eV per formula unit: -4.61

***

No. 2
Here is a relaxed La2FeMo crystal from the Alexandria database. Energies are from PBE.

Lattice parameters (Å, degrees): 3.1976 3.1976 9.0991 90.00 90.00 90.00
Site moments in Bohr magnetons follow the coordinates.
Atoms (fractional coordinates):
Mo (0.0000, 0.0000, 0.5650)  0.38
La (0.5000, 0.5000, 0.3135)  0.00
La (0.0000, 0.0000, 0.9295)  0.08
Fe (0.5000, 0.5000, 0.6920)  -1.40

Output
SG: P4mm, No. 99
Energy of formation from the pure elements in eV per formula unit: 1.15

***

No. 3
Here is a relaxed AlVSeN2 crystal from the Alexandria database. Energies are from PBE.

Lattice parameters (Å, degrees): 3.7510 3.7510 5.2438 90.00 90.00 90.00
Atoms (fractional coordinates):
V (0.0000, 0.0000, 0.0000)
N (0.0000, 0.5000, 0.0000)
N (0.5000, 0.0000, 0.0000)
Al (0.5000, 0.5000, 0.5000)
Se (0.0000, 0.0000, 0.5000)

Output
SG: P4/mmm, No. 123
Energy relative to the elements, uncorrected in eV/atom: 0.185

***

No. 4
Here is a relaxed CrRuBr4 crystal from the Alexandria database. Energies are from PBE.

Lattice parameters (Å, degrees): 6.1612 6.1612 6.1612 60.00 60.00 60.00
Site moments in Bohr magnetons follow the coordinates.
Atoms (fractional coordinates):
Br (0.3746, 0.3746, 0.8763)  -0.06
Br (0.8763, 0.3746, 0.3746)  -0.06
Br (0.3746, 0.8763, 0.3746)  -0.06
Ru (0.0000, 0.0000, 0.0000)  2.63
Br (0.3746, 0.3746, 0.3746)  -0.06
Cr (0.7500, 0.7500, 0.7500)  -4.25

Output
SG: F-43m, No. 216
Energy relative to the elements, uncorrected in eV/atom: 1.360

***

No. 5
Here is a relaxed YH4Pd2Pt crystal from the Alexandria database. Energies are from PBE.

Lattice parameters (Å, degrees): 5.1502 5.1443 4.7894 121.31 121.36 91.87
Atoms (fractional coordinates):
H (0.8790, 0.4017, 0.3749)
Pd (0.2343, 0.2339, 0.4685)
H (0.0821, 0.9820, 0.5771)
Pt (0.7326, 0.7325, 0.4653)
H (0.4951, 0.5955, 0.5771)
Pd (0.4849, 0.9847, 0.9699)
H (0.4949, 0.9728, 0.3731)
Y (0.9841, 0.4839, 0.9682)

Output
SG: C2, No. 5

***

No. 6
Here is a relaxed BePtCl2 crystal from the Alexandria database. Energies are from PBE.

Lattice parameters (Å, degrees): 3.7532 3.7532 7.1689 89.05 89.05 53.70
Atoms (fractional coordinates):
Be (0.2757, 0.2757, 0.4521)
Cl (0.9373, 0.9373, 0.0919)
Cl (0.7064, 0.7064, 0.6304)
Pt (0.5806, 0.5806, 0.3256)

Output
SG: Cm, No. 8
Energy relative to the elements, uncorrected in eV/atom: -0.410

***

No. 7
Here is a relaxed ReIr3Rh12 crystal from the Alexandria database. Energies are from PBE.

Lattice parameters (Å, degrees): 3.8517 3.8517 15.3855 90.00 90.00 90.00
Atoms (fractional coordinates):
Rh (0.5000, 0.5000, 0.7510)
Re (0.0000, 0.0000, 0.0000)
Rh (0.5000, 0.0000, 0.6252)
Rh (0.0000, 0.5000, 0.1226)
Rh (0.5000, 0.5000, 0.5000)
Ir (0.0000, 0.0000, 0.5000)
Ir (0.0000, 0.0000, 0.7475)
Rh (0.5000, 0.0000, 0.3748)
Rh (0.5000, 0.5000, 0.2490)
Ir (0.0000, 0.0000, 0.2525)
Rh (0.5000, 0.0000, 0.8774)
Rh (0.5000, 0.0000, 0.1226)
Rh (0.5000, 0.5000, 0.0000)
Rh (0.0000, 0.5000, 0.6252)
Rh (0.0000, 0.5000, 0.3748)
Rh (0.0000, 0.5000, 0.8774)

Output
SG: P4/mmm, No. 123
Energy of formation from the pure elements in eV per formula unit: -0.24

***

No. 8
Here is a relaxed AcU2N4 crystal from the Alexandria database. Energies are from PBE.

Lattice parameters (Å, degrees): 7.0451 7.0451 7.0451 119.26 91.29 119.26
Site moments in Bohr magnetons follow the coordinates.
Atoms (fractional coordinates):
Ac (0.0000, 0.0000, 0.0000)  0.04
N (0.5895, 0.1999, 0.3896)  -0.07
U (0.3750, 0.2500, 0.6250)  1.45
U (0.8750, 0.2500, 0.6250)  1.45
Ac (0.7500, 0.5000, 0.2500)  0.04
N (0.6104, 0.2000, 0.8103)  -0.07
N (0.1897, 0.8001, 0.3896)  -0.07
N (0.5603, 0.7000, 0.8604)  -0.07
N (0.1605, 0.3000, 0.8604)  -0.07
U (0.3750, 0.7500, 0.6250)  1.45
U (0.3750, 0.7500, 0.1250)  1.45
N (0.1396, 0.6999, 0.8395)  -0.07
N (0.1396, 0.3001, 0.4397)  -0.07
N (0.6104, 0.8000, 0.4105)  -0.07

Output
SG: I4_1/amd, No. 141
Energy relative to the elements, uncorrected in eV/atom: -1.333

***

| no. | VASP energy (eV per atom) |
| --- | --- |
| 1 | -5.821 |
| 2 | -7.000 |
| 3 | -6.414 |
| 4 | -2.906 |
| 5 | -4.996 |
| 6 | -3.775 |
| 7 | -7.968 |
| 8 | -9.902 |